Er6Tl5Cd after structural relaxation. Source: Alexandria via LeMat-Bulk, functional PBE-GGA.

The crystal system is orthorhombic. The calculation puts the total energy at -3.66 eV/atom. As for the density of states at the Fermi level: 18.78 states/eV/cell. For the excess energy over the best structure of this formula in the dataset, the calculation gives 0 meV per atom. The calculation puts the formation energy at -0.32 eV/atom.

The structure belongs to space group Cmmm (No. 65); the cell edges are 5.3320, 16.0340 and 7.4333 Å and the angles 90.00°, 90.00° and 90.00°. The asymmetric unit holds Er at (0.0000, 0.0000, 0.2495), Er at (0.0000, 0.3337, 0.2476), Tl at (0.0000, 0.1632, 0.0000), Tl at (0.0000, 0.1673, 0.5000), Tl at (0.0000, 0.5000, 0.5000) and Cd at (0.0000, 0.5000, 0.0000).

***

Er5TlCd2 after structural relaxation. Source: Alexandria via LeMat-Bulk, functional PBE-GGA.

The crystal system is tetragonal. The calculation puts the total energy at -3.58 eV/atom. As for the density of states at the Fermi level: 31.49 states/eV/cell. The calculation puts the formation energy at -0.20 eV/atom.

The structure belongs to space group I4/mcm (No. 140); the cell edges are 7.7406, 7.7406 and 14.9047 Å and the angles 90.00°, 90.00° and 90.00°. The asymmetric unit holds Er at (0.0000, 0.0000, 0.0000), Er at (0.1616, 0.3384, 0.1545), Tl at (0.0000, 0.0000, 0.2500) and Cd at (0.1308, 0.3692, 0.5000).

***

Er4TlCd2 after structural relaxation. Source: Alexandria via LeMat-Bulk, functional PBE-GGA.

The crystal system is trigonal. The calculation puts the total energy at -3.34 eV/atom. As for the density of states at the Fermi level: 23.20 states/eV/cell. For the excess energy over the best structure of this formula in the dataset, the calculation gives 0 meV per atom. The calculation puts the formation energy at -0.14 eV/atom.

The structure belongs to space group R-3m (No. 166, hexagonal axes); the cell edges are 5.2005, 5.2005 and 25.2361 Å and the angles 90.00°, 90.00° and 120.00°. The asymmetric unit holds Er at (0.0000, 0.0000, 0.1166), Er at (0.0000, 0.0000, 0.3703), Tl at (0.0000, 0.0000, 0.5000) and Cd at (0.0000, 0.0000, 0.2484).

***

ErTlCd3 after structural relaxation. Source: Alexandria via LeMat-Bulk, functional PBE-GGA.

The crystal system is orthorhombic. The calculation puts the total energy at -2.01 eV/atom. As for the density of states at the Fermi level: 9.93 states/eV/cell. The calculation puts the formation energy at -0.07 eV/atom.

The structure belongs to space group Cmmm (No. 65); the cell edges are 4.8693, 32.1626 and 3.3212 Å and the angles 90.00°, 90.00° and 90.00°. The asymmetric unit holds Er at (0.0000, 0.1779, 0.0000), Tl at (0.0000, 0.3641, 0.5000), Cd at (0.0000, 0.0767, 0.5000), Cd at (0.0000, 0.2707, 0.5000) and Cd at (0.0000, 0.4552, 0.0000).

***

ErTlCd after structural relaxation. Source: Alexandria via LeMat-Bulk, functional PBE-GGA.

The crystal system is cubic. The calculation puts the total energy at -2.76 eV/atom. As for the density of states at the Fermi level: 2.10 states/eV/cell. The calculation puts the formation energy at -0.15 eV/atom.

The structure belongs to space group F-43m (No. 216); the cell edges are 6.9590, 6.9590 and 6.9590 Å and the angles 90.00°, 90.00° and 90.00°. The asymmetric unit holds Er at (0.0000, 0.0000, 0.0000), Tl at (0.2500, 0.2500, 0.2500) and Cd at (0.0000, 0.0000, 0.5000).

***

Er7Tl3Cd after structural relaxation. Source: Alexandria via LeMat-Bulk, functional PBE-GGA.

The crystal system is monoclinic. The calculation puts the total energy at -3.67 eV/atom. As for the density of states at the Fermi level: 23.54 states/eV/cell. The calculation puts the formation energy at -0.04 eV/atom.

The structure belongs to space group C2/m (No. 12); the cell edges are 11.0508, 11.4142 and 5.7904 Å and the angles 90.00°, 118.75° and 90.00°. The asymmetric unit holds Er at (0.0000, 0.0000, 0.0000), Er at (0.1774, 0.2778, 0.6860), Er at (0.1865, 0.5000, 0.1810), Tl at (0.0000, 0.2699, 0.0000), Tl at (0.0000, 0.5000, 0.5000) and Cd at (0.0000, 0.0000, 0.5000).

***

Er6TlCd2 after structural relaxation. Source: Alexandria via LeMat-Bulk, functional PBE-GGA.

The crystal system is orthorhombic. The calculation puts the total energy at -3.66 eV/atom. As for the density of states at the Fermi level: 38.20 states/eV/cell. The calculation puts the formation energy at -0.15 eV/atom.

The structure belongs to space group Immm (No. 71); the cell edges are 9.8769, 10.1717 and 10.2123 Å and the angles 90.00°, 90.00° and 90.00°. The asymmetric unit holds Er at (0.0000, 0.1781, 0.2259), Er at (0.1799, 0.5000, 0.2334), Er at (0.2014, 0.2497, 0.5000), Tl at (0.0000, 0.0000, 0.5000), Tl at (0.0000, 0.5000, 0.5000), Cd at (0.0000, 0.3640, 0.0000) and Cd at (0.1428, 0.0000, 0.0000).

***

Er4Tl2Cd3 after structural relaxation. Source: Alexandria via LeMat-Bulk, functional PBE-GGA.

The crystal system is monoclinic. The calculation puts the total energy at -3.12 eV/atom. As for the density of states at the Fermi level: 16.01 states/eV/cell. The calculation puts the formation energy at -0.26 eV/atom.

The structure belongs to space group C2/m (No. 12); the cell edges are 8.9129, 5.1495 and 10.2040 Å and the angles 90.00°, 90.05° and 90.00°. The asymmetric unit holds Er at (0.0001, 0.0000, 0.1707), Er at (0.1666, 0.5000, 0.6190), Tl at (0.1668, 0.5000, 0.2951), Cd at (0.0000, 0.0000, 0.5000) and Cd at (0.1667, 0.5000, 0.9681).

***

Er4TlCd after structural relaxation. Source: Alexandria via LeMat-Bulk, functional PBE-GGA.

The crystal system is tetragonal. The calculation puts the total energy at -3.55 eV/atom. As for the density of states at the Fermi level: 6.34 states/eV/cell. For the excess energy over the best structure of this formula in the dataset, the calculation gives 240 meV per atom. The calculation puts the formation energy at 0.04 eV/atom.

The structure belongs to space group P4/mmm (No. 123); the cell edges are 5.1042, 5.1042 and 7.2816 Å and the angles 90.00°, 90.00° and 90.00°. The asymmetric unit holds Er at (0.0000, 0.5000, 0.2433), Tl at (0.0000, 0.0000, 0.5000) and Cd at (0.5000, 0.5000, 0.0000).

***

ErTlCd after structural relaxation. Source: Alexandria via LeMat-Bulk, functional PBE-GGA.

The crystal system is trigonal. The calculation puts the total energy at -2.84 eV/atom. As for the density of states at the Fermi level: 2.21 states/eV/cell. The calculation puts the formation energy at -0.22 eV/atom.

The structure belongs to space group P3m1 (No. 156); the cell edges are 4.9567, 4.9567 and 3.5803 Å and the angles 90.00°, 90.00° and 120.00°. The asymmetric unit holds Er at (0.0000, 0.0000, 0.0000), Tl at (0.6667, 0.3333, 0.5794) and Cd at (0.3333, 0.6667, 0.4494).

***

Er3TlCd4 after structural relaxation. Source: Alexandria via LeMat-Bulk, functional PBE-GGA.

The crystal system is tetragonal. The calculation puts the total energy at -2.70 eV/atom. As for the density of states at the Fermi level: 5.44 states/eV/cell. The calculation puts the formation energy at -0.24 eV/atom.

The structure belongs to space group P4/mmm (No. 123); the cell edges are 4.9634, 4.9634 and 8.1391 Å and the angles 90.00°, 90.00° and 90.00°. The asymmetric unit holds Er at (0.0000, 0.0000, 0.0000), Er at (0.0000, 0.0000, 0.5000), Er at (0.5000, 0.5000, 0.0000), Tl at (0.5000, 0.5000, 0.5000) and Cd at (0.0000, 0.5000, 0.2486).

***

Er6Tl5Cd after structural relaxation. Source: Alexandria via LeMat-Bulk, functional PBE-GGA.

The crystal system is monoclinic. The calculation puts the total energy at -3.58 eV/atom. As for the density of states at the Fermi level: 14.71 states/eV/cell. For the excess energy over the best structure of this formula in the dataset, the calculation gives 81 meV per atom. The calculation puts the formation energy at -0.24 eV/atom.

The structure belongs to space group C2/m (No. 12); the cell edges are 6.4047, 11.1386 and 9.7919 Å and the angles 90.00°, 102.79° and 90.00°. The asymmetric unit holds Er at (0.2476, 0.0000, 0.2505), Er at (0.2478, 0.1658, 0.7479), Tl at (0.0000, 0.1682, 0.0000), Tl at (0.0000, 0.3344, 0.5000), Tl at (0.0000, 0.5000, 0.0000) and Cd at (0.0000, 0.0000, 0.5000).

***

Er4TlCd after structural relaxation. Source: Alexandria via LeMat-Bulk, functional PBE-GGA.

The crystal system is tetragonal. The calculation puts the total energy at -3.79 eV/atom. As for the density of states at the Fermi level: 8.91 states/eV/cell. For the excess energy over the best structure of this formula in the dataset, the calculation gives 0 meV per atom. The calculation puts the formation energy at -0.20 eV/atom.

The structure belongs to space group P4/mmm (No. 123); the cell edges are 3.5483, 3.5483 and 13.2969 Å and the angles 90.00°, 90.00° and 90.00°. The asymmetric unit holds Er at (0.0000, 0.0000, 0.1543), Er at (0.5000, 0.5000, 0.3383), Tl at (0.0000, 0.0000, 0.5000) and Cd at (0.5000, 0.5000, 0.0000).

***

Er5Tl3Cd after structural relaxation. Source: Alexandria via LeMat-Bulk, functional PBE-GGA.

The crystal system is hexagonal. The calculation puts the total energy at -3.75 eV/atom. As for the density of states at the Fermi level: 11.75 states/eV/cell. The calculation puts the formation energy at -0.32 eV/atom.

The structure belongs to space group P6_3/mcm (No. 193); the cell edges are 9.1823, 9.1823 and 6.6876 Å and the angles 90.00°, 90.00° and 120.00°. The asymmetric unit holds Er at (0.0000, 0.2869, 0.2500), Er at (0.3333, 0.6667, 0.0000), Tl at (0.0000, 0.3744, 0.7500) and Cd at (0.0000, 0.0000, 0.0000).

***

Er5Tl4Cd after structural relaxation. Source: Alexandria via LeMat-Bulk, functional PBE-GGA.

The crystal system is tetragonal. The calculation puts the total energy at -3.63 eV/atom. As for the density of states at the Fermi level: 9.14 states/eV/cell. The calculation puts the formation energy at -0.31 eV/atom.

The structure belongs to space group P4/mmm (No. 123); the cell edges are 3.7229, 3.7229 and 19.1163 Å and the angles 90.00°, 90.00° and 90.00°. The asymmetric unit holds Er at (0.0000, 0.0000, 0.0000), Er at (0.0000, 0.0000, 0.2029), Er at (0.0000, 0.0000, 0.4048), Tl at (0.5000, 0.5000, 0.1013), Tl at (0.5000, 0.5000, 0.3049) and Cd at (0.5000, 0.5000, 0.5000).

***

Er5Tl2Cd after structural relaxation. Source: Alexandria via LeMat-Bulk, functional PBE-GGA.

The crystal system is orthorhombic. The calculation puts the total energy at -3.69 eV/atom. As for the density of states at the Fermi level: 32.49 states/eV/cell. The calculation puts the formation energy at -0.13 eV/atom.

The structure belongs to space group Cmcm (No. 63); the cell edges are 4.6296, 11.0839 and 17.3877 Å and the angles 90.00°, 90.00° and 90.00°. The asymmetric unit holds Er at (0.0000, 0.0452, 0.0980), Er at (0.0000, 0.3480, 0.0383), Er at (0.0000, 0.4549, 0.2500), Tl at (0.0000, 0.2400, 0.6497) and Cd at (0.0000, 0.1672, 0.2500).

***

Er4TlCd2 after structural relaxation. Source: Alexandria via LeMat-Bulk, functional PBE-GGA.

The crystal system is trigonal. The calculation puts the total energy at -3.18 eV/atom. As for the density of states at the Fermi level: 27.88 states/eV/cell. For the excess energy over the best structure of this formula in the dataset, the calculation gives 161 meV per atom. The calculation puts the formation energy at 0.03 eV/atom.

The structure belongs to space group R-3m (No. 166, hexagonal axes); the cell edges are 4.9995, 4.9995 and 29.4066 Å and the angles 90.00°, 90.00° and 120.00°. The asymmetric unit holds Er at (0.0000, 0.0000, 0.1209), Er at (0.0000, 0.0000, 0.2984), Tl at (0.0000, 0.0000, 0.5000) and Cd at (0.0000, 0.0000, 0.4014).

***

ErTlCd2 after structural relaxation. Source: Alexandria via LeMat-Bulk, functional PBE-GGA.

The crystal system is tetragonal. The calculation puts the total energy at -2.32 eV/atom. As for the density of states at the Fermi level: 2.62 states/eV/cell. For the excess energy over the best structure of this formula in the dataset, the calculation gives 98 meV per atom. The calculation puts the formation energy at -0.13 eV/atom.

The structure belongs to space group P4/mmm (No. 123); the cell edges are 3.8687, 3.8687 and 6.8908 Å and the angles 90.00°, 90.00° and 90.00°. The asymmetric unit holds Er at (0.0000, 0.0000, 0.0000), Tl at (0.0000, 0.0000, 0.5000) and Cd at (0.5000, 0.5000, 0.2431).

***

ErTlCd4 after structural relaxation. Source: Alexandria via LeMat-Bulk, functional PBE-GGA.

The crystal system is monoclinic. The calculation puts the total energy at -1.88 eV/atom. As for the density of states at the Fermi level: 11.29 states/eV/cell. For the excess energy over the best structure of this formula in the dataset, the calculation gives 0 meV per atom. The calculation puts the formation energy at -0.11 eV/atom.

The structure belongs to space group C2/c (No. 15); the cell edges are 6.3888, 18.3033 and 5.0908 Å and the angles 90.00°, 93.07° and 90.00°. The asymmetric unit holds Er at (0.0000, 0.2038, 0.2500), Tl at (0.0000, 0.3056, 0.7500), Cd at (0.2440, 0.1303, 0.7610) and Cd at (0.2454, 0.0408, 0.2704).

***

Er12Tl5Cd2 after structural relaxation. Source: Alexandria via LeMat-Bulk, functional PBE-GGA.

The crystal system is monoclinic. The calculation puts the total energy at -3.68 eV/atom. As for the density of states at the Fermi level: 35.75 states/eV/cell. The calculation puts the formation energy at -0.08 eV/atom.

The structure belongs to space group C2/m (No. 12); the cell edges are 16.9879, 7.2603 and 9.0849 Å and the angles 90.00°, 97.90° and 90.00°. The asymmetric unit holds Er at (0.0094, 0.0000, 0.1876), Er at (0.0418, 0.5000, 0.6916), Er at (0.1492, 0.2436, 0.0042), Er at (0.1600, 0.2610, 0.4108), Tl at (0.0000, 0.5000, 0.0000), Tl at (0.1943, 0.0000, 0.7292), Tl at (0.2294, 0.5000, 0.7521) and Cd at (0.0000, 0.1813, 0.5000).